[1]
This record from the Alexandria database describes a geometry-optimized Na3AlCu structure. The functional is GGA-PBE.

Cell: 5.3374 5.3374 5.3374 Å, 90.00 90.00 90.00°
With the nearest neighbours (Å) after each atom.
Fractional positions:
Na1 0.0000 0.0000 0.5000  2 Cu 2.67
Na2 0.0000 0.5000 0.0000  2 Cu 2.67
Na3 0.5000 0.0000 0.0000  2 Cu 2.67
Al1 0.5000 0.5000 0.5000  12 Na 3.77
Cu1 0.0000 0.0000 0.0000  6 Na 2.67

Results
Magnetic moment   0.00 μB/f.u.
Energy relative to the elements   0.509 eV/atom
Space group   No. 221

[2]
This record from the Alexandria database describes a geometry-optimized NaAl2Cu2 structure. The functional is GGA-PBE.

Cell: 7.6798 7.6798 2.6577 Å, 90.00 90.00 90.00°
With the nearest neighbours (Å) after each atom.
Fractional positions:
Na1 0.0000 0.0000 0.0000  2 Na 2.66, 4 Cu 2.89
Na2 0.5000 0.5000 0.0000  2 Na 2.66, 4 Cu 2.89
Al1 0.1340 0.3660 0.5000  6 Cu 2.61-2.63, 3 Al 2.66-2.91
Al2 0.3660 0.8660 0.5000  6 Cu 2.61-2.63, 3 Al 2.66-2.91
Al3 0.6340 0.1340 0.5000  6 Cu 2.61-2.63, 3 Al 2.66-2.91
Al4 0.8660 0.6340 0.5000  6 Cu 2.61-2.63, 3 Al 2.66-2.91
Cu1 0.1597 0.6597 0.0000  6 Al 2.61-2.63, 2 Cu 2.66, 2 Na 2.89
Cu2 0.3403 0.1597 0.0000  6 Al 2.61-2.63, 2 Cu 2.66, 2 Na 2.89
Cu3 0.6597 0.8403 0.0000  6 Al 2.61-2.63, 2 Cu 2.66, 2 Na 2.89
Cu4 0.8403 0.3403 0.0000  6 Al 2.61-2.63, 2 Cu 2.66, 2 Na 2.89

Results
Magnetic moment   0.00 μB/f.u.
E above lowest polymorph   0 meV per atom
Energy relative to the elements   -0.108 eV/atom
Space group   No. 127

[3]
This record from the Alexandria database describes a geometry-optimized NaAl6Cu3 structure. The functional is GGA-PBE.

Cell: 8.2955 3.9469 10.3794 Å, 90.00 101.32 90.00°
With the nearest neighbours (Å) after each atom.
Fractional positions:
Na1 0.0075 0.2500 0.2649  7 Al 2.82-3.04, 5 Cu 2.93-3.03
Na2 0.9925 0.7500 0.7351  7 Al 2.82-3.04, 5 Cu 2.93-3.03
Al1 0.0939 0.2500 0.9591  2 Cu 2.57, 4 Al 2.75-2.81
Al2 0.2155 0.7500 0.4356  5 Cu 2.55-2.79, 2 Al 2.78-2.85
Al3 0.2364 0.7500 0.1717  3 Cu 2.49-2.63, 1 Al 2.78
Al4 0.3261 0.7500 0.7132  2 Cu 2.47-2.60, 3 Al 2.71
Al5 0.4221 0.2500 0.0767  4 Cu 2.46-2.67, 2 Al 2.71-2.76
Al6 0.4401 0.2500 0.5761  4 Cu 2.58-2.63, 5 Al 2.71-2.88
Al7 0.5599 0.7500 0.4239  4 Cu 2.58-2.63, 5 Al 2.71-2.88
Al8 0.5779 0.7500 0.9233  4 Cu 2.46-2.67, 2 Al 2.71-2.76
Al9 0.6739 0.2500 0.2868  2 Cu 2.47-2.60, 3 Al 2.71
Al10 0.7636 0.2500 0.8283  3 Cu 2.49-2.63, 1 Al 2.78
Al11 0.7845 0.2500 0.5644  5 Cu 2.55-2.79, 2 Al 2.78-2.85
Al12 0.9061 0.7500 0.0409  2 Cu 2.57, 4 Al 2.75-2.81
Cu1 0.1193 0.2500 0.5575  4 Al 2.55-2.79
Cu2 0.2870 0.7500 0.9435  7 Al 2.46-2.57
Cu3 0.3720 0.2500 0.3225  9 Al 2.58-2.75
Cu4 0.6280 0.7500 0.6775  9 Al 2.58-2.75
Cu5 0.7130 0.2500 0.0565  7 Al 2.46-2.57
Cu6 0.8807 0.7500 0.4425  4 Al 2.55-2.79

Results
Magnetic moment   0.00 μB/f.u.
Energy relative to the elements   0.010 eV/atom
Space group   No. 11

[4]
This record from the Alexandria database describes a geometry-optimized NaAl6Cu6 structure. The functional is GGA-PBE.

Cell: 6.6048 6.6048 6.6048 Å, 134.52 99.51 97.68°
With the nearest neighbours (Å) after each atom.
Fractional positions:
Na1 0.0000 0.0000 0.0000  8 Al 2.95-3.08, 12 Cu 3.25-3.30
Al1 0.1991 0.6991 0.5000  6 Cu 2.53-2.65
Al2 0.3461 0.0000 0.3461  3 Al 2.63-2.93, 6 Cu 2.65-2.72
Al3 0.3483 0.3483 0.0000  6 Cu 2.62-2.63, 3 Al 2.64-2.86
Al4 0.6517 0.6517 0.0000  6 Cu 2.62-2.63, 3 Al 2.64-2.86
Al5 0.6539 0.0000 0.6539  3 Al 2.63-2.93, 6 Cu 2.65-2.72
Al6 0.8009 0.3009 0.5000  6 Cu 2.53-2.65
Cu1 0.0000 0.0000 0.5000  4 Cu 2.52-2.55, 6 Al 2.53-2.65
Cu2 0.0000 0.5000 0.0000  4 Cu 2.52-2.55, 6 Al 2.53-2.65
Cu3 0.2353 0.5000 0.7353  4 Cu 2.52, 6 Al 2.62-2.72
Cu4 0.5000 0.0000 0.0000  4 Cu 2.52-2.55, 6 Al 2.53-2.65
Cu5 0.5000 0.5000 0.5000  4 Cu 2.52-2.55, 6 Al 2.53-2.65
Cu6 0.7647 0.5000 0.2647  4 Cu 2.52, 6 Al 2.62-2.72

Results
Magnetic moment   0.00 μB/f.u.
Energy relative to the elements   -0.193 eV/atom
Space group   No. 71

[5]
This record from the Alexandria database describes a geometry-optimized NaAlCu4 structure. The functional is GGA-PBE.

Cell: 4.9727 4.9727 4.9727 Å, 60.00 60.00 60.00°
With the nearest neighbours (Å) after each atom.
Fractional positions:
Na1 0.0000 0.0000 0.0000  12 Cu 2.92, 4 Al 3.05
Al1 0.7500 0.7500 0.7500  12 Cu 2.91, 4 Na 3.05
Cu1 0.3753 0.3753 0.3753  6 Cu 2.48-2.49
Cu2 0.3753 0.3753 0.8740  6 Cu 2.48-2.49
Cu3 0.3753 0.8740 0.3753  6 Cu 2.48-2.49
Cu4 0.8740 0.3753 0.3753  6 Cu 2.48-2.49

Results
Magnetic moment   0.00 μB/f.u.
Energy relative to the elements   0.065 eV/atom
Space group   No. 216

[6]
This record from the Alexandria database describes a geometry-optimized Na2AlCu structure. The functional is GGA-PBE.

Cell: 7.2209 7.2209 7.2209 Å, 96.27 96.27 141.41°
With the nearest neighbours (Å) after each atom.
Fractional positions:
Na1 0.0063 0.6250 0.8813  2 Cu 2.79
Na2 0.3750 0.2563 0.3813  2 Cu 2.79
Na3 0.7437 0.1250 0.1187  2 Cu 2.79
Na4 0.8750 0.9937 0.6187  2 Cu 2.79
Al1 0.2500 0.7500 0.5000  2 Cu 2.39
Al2 0.5000 0.5000 0.0000  2 Cu 2.39
Cu1 0.0000 0.0000 0.0000  2 Al 2.39
Cu2 0.7500 0.2500 0.5000  2 Al 2.39

Results
Magnetic moment   0.00 μB/f.u.
Energy relative to the elements   0.321 eV/atom
Space group   No. 122

[7]
This record from the Alexandria database describes a geometry-optimized NaAl12Cu5 structure. The functional is GGA-PBE.

Cell: 7.2549 7.2549 7.2549 Å, 118.28 113.19 97.60°
With the nearest neighbours (Å) after each atom.
Fractional positions:
Na1 0.0000 0.0000 0.0000  12 Al 2.85-2.95
Al1 0.1190 0.8233 0.2956  3 Cu 2.47-2.66
Al2 0.2227 0.3155 0.5382  4 Cu 2.47-2.61, 1 Al 2.75
Al3 0.2227 0.6845 0.9072  4 Cu 2.47-2.61, 1 Al 2.75
Al4 0.2571 0.0626 0.8056  3 Cu 2.54-2.74
Al5 0.2571 0.4515 0.1944  3 Cu 2.54-2.74
Al6 0.4723 0.1767 0.2956  3 Cu 2.47-2.66
Al7 0.5277 0.8233 0.7044  3 Cu 2.47-2.66
Al8 0.7429 0.5485 0.8056  3 Cu 2.54-2.74
Al9 0.7429 0.9374 0.1944  3 Cu 2.54-2.74
Al10 0.7773 0.3155 0.0928  4 Cu 2.47-2.61, 1 Al 2.75
Al11 0.7773 0.6845 0.4618  4 Cu 2.47-2.61, 1 Al 2.75
Al12 0.8810 0.1767 0.7044  3 Cu 2.47-2.66
Cu1 0.1292 0.6292 0.5000  1 Cu 2.47, 8 Al 2.47-2.58
Cu2 0.5000 0.1675 0.6675  8 Al 2.47-2.66, 2 Cu 2.47-2.49
Cu3 0.5000 0.5000 0.0000  2 Cu 2.47, 8 Al 2.61-2.74
Cu4 0.5000 0.8325 0.3325  8 Al 2.47-2.66, 2 Cu 2.47-2.49
Cu5 0.8708 0.3708 0.5000  1 Cu 2.47, 8 Al 2.47-2.58

Results
Magnetic moment   0.00 μB/f.u.
Energy relative to the elements   -0.031 eV/atom
Space group   No. 71

[8]
This record from the Alexandria database describes a geometry-optimized NaAl7Cu5 structure. The functional is GGA-PBE.

Cell: 6.6856 6.6856 6.6856 Å, 135.13 97.97 98.78°
With the nearest neighbours (Å) after each atom.
Fractional positions:
Na1 0.0000 0.0000 0.0000  10 Al 2.96-3.25, 2 Cu 3.22
Al1 0.2012 0.4952 0.7060  5 Cu 2.52-2.64, 1 Al 2.74
Al2 0.2317 0.7317 0.5000  4 Cu 2.52, 6 Al 2.74-2.77
Al3 0.3528 0.3528 0.0000  5 Al 2.67-2.86, 4 Cu 2.67
Al4 0.3577 0.0103 0.3474  5 Cu 2.61-2.72, 4 Al 2.68-2.84
Al5 0.6595 0.6595 0.0000  3 Al 2.67-2.95, 6 Cu 2.68-2.74, 1 Na 2.96
Al6 0.6629 0.0103 0.6526  5 Cu 2.61-2.72, 4 Al 2.68-2.84
Al7 0.7892 0.4952 0.2940  5 Cu 2.52-2.64, 1 Al 2.74
Cu1 0.0038 0.5024 0.0045  7 Al 2.52-2.72, 3 Cu 2.54-2.57
Cu2 0.0038 0.9994 0.5015  7 Al 2.52-2.72, 3 Cu 2.54-2.57
Cu3 0.4979 0.5024 0.4985  7 Al 2.52-2.72, 3 Cu 2.54-2.57
Cu4 0.4979 0.9994 0.9955  7 Al 2.52-2.72, 3 Cu 2.54-2.57
Cu5 0.7735 0.2735 0.5000  4 Cu 2.57, 6 Al 2.64-2.74

Results
Magnetic moment   0.00 μB/f.u.
Energy relative to the elements   -0.176 eV/atom
Space group   No. 44